{
  "formula": "KRbIn4Au8",
  "functional": "SCAN",
  "state": "single point on PBEsol structure",
  "lattice": [[-4.343, 4.343, 4.172], [4.343, -4.343, 4.172], [4.343, 4.343, -4.172]],
  "species": ["K", "Rb", "In", "In", "In", "In", "Au", "Au", "Au", "Au", "Au", "Au", "Au", "Au"],
  "fractional_positions": [[0.000, 0.000, 0.000], [0.500, 0.500, 0.000], [0.104, 0.896, 0.500], [0.396, 0.604, 0.500], [0.604, 0.104, 0.209], [0.896, 0.396, 0.791], [0.062, 0.262, 0.494], [0.232, 0.738, 0.800], [0.262, 0.768, 0.200], [0.432, 0.232, 0.494], [0.568, 0.062, 0.800], [0.738, 0.938, 0.506], [0.768, 0.568, 0.506], [0.938, 0.432, 0.200]],
  "total_magnetization_mub_per_cell": 0.00,
  "delta_e_f_ev_per_atom": -0.35
}

=====

{
  "formula": "TePbAu",
  "functional": "SCAN",
  "state": "single point on PBEsol structure",
  "lattice": [[4.286, 0.000, 0.000], [-2.143, 3.711, 0.000], [0.000, 0.000, 5.022]],
  "species": ["Te", "Pb", "Au"],
  "fractional_positions": [[0.000, 0.000, 0.000], [0.667, 0.333, 0.445], [0.333, 0.667, 0.747]],
  "e_form_raw_ev_per_atom": -0.2151,
  "total_magnetization_mub_per_cell": 0.00
}

=====

{
  "formula": "NiIr2Pb",
  "functional": "SCAN",
  "state": "single point on PBEsol structure",
  "lattice": [[4.292, -1.453, 0.000], [4.292, 1.453, 0.000], [-0.930, 0.000, 5.104]],
  "species": ["Ni", "Ir", "Ir", "Pb"],
  "fractional_positions": [[0.000, 0.000, 0.000], [0.258, 0.258, 0.791], [0.513, 0.513, 0.593], [0.753, 0.753, 0.272]],
  "total_magnetization_mub_per_cell": 1.04,
  "delta_e_f_ev_per_atom": 0.46
}

=====

{
  "formula": "ScPtO2F",
  "functional": "SCAN",
  "state": "single point on PBEsol structure",
  "lattice": [[4.083, 0.000, 0.000], [0.000, 4.083, 0.000], [0.000, 0.000, 3.821]],
  "species": ["Sc", "Pt", "O", "O", "F"],
  "fractional_positions": [[0.000, 0.000, 0.000], [0.500, 0.500, 0.500], [0.000, 0.500, 0.000], [0.500, 0.000, 0.000], [0.000, 0.000, 0.500]],
  "e_form_raw_ev_per_atom": -1.5615,
  "total_magnetization_mub_per_cell": 2.01
}

=====

{
  "formula": "BeCdFe",
  "functional": "SCAN",
  "state": "single point on PBEsol structure",
  "lattice": [[0.000, 2.894, 2.894], [2.894, 0.000, 2.894], [2.894, 2.894, 0.000]],
  "species": ["Be", "Cd", "Fe"],
  "fractional_positions": [[0.000, 0.000, 0.000], [0.250, 0.250, 0.250], [0.500, 0.500, 0.500]],
  "total_magnetization_mub_per_cell": 3.15,
  "de_polymorph_mev_per_atom": 516,
  "delta_e_f_ev_per_atom": 0.86
}

=====

{
  "formula": "PAu2C",
  "functional": "SCAN",
  "state": "single point on PBEsol structure",
  "lattice": [[-2.309, 2.309, 6.192], [2.309, -2.309, 6.192], [2.309, 2.309, -6.192]],
  "species": ["P", "P", "Au", "Au", "Au", "Au", "C", "C"],
  "fractional_positions": [[0.000, 0.000, 0.000], [0.750, 0.250, 0.500], [0.201, 0.625, 0.076], [0.375, 0.451, 0.576], [0.549, 0.125, 0.924], [0.875, 0.799, 0.424], [0.250, 0.750, 0.500], [0.500, 0.500, 0.000]],
  "total_magnetization_mub_per_cell": 0.00,
  "delta_e_f_ev_per_atom": 0.97
}